Density functional theory data (PBE-GGA) for a geometry-optimized KTl2Ag structure.

Results
ΔE_f	38	meV/atom
DOS at the Fermi energy	0.5896	states/eV per atom
M_tot	0.00	μB/f.u.

a b c (Å): 3.8211 3.8211 8.5475
angles (deg): 90.00 90.00 90.00
Last column: nearest neighbours and their distance in Å.
Sites, in units of the cell vectors:
K 0.0000 0.0000 0.0000  4 Ag 3.64, 5 Tl 3.73-3.79, 4 K 3.82
Tl 0.0000 0.0000 0.5638  4 Ag 3.00
Tl 0.5000 0.5000 0.3109  1 Ag 3.46, 8 Tl 3.46-3.82, 4 K 3.79
Ag 0.5000 0.5000 0.7154  4 Tl 3.00

***

Density functional theory data (PBE-GGA) for a geometry-optimized Re2SiPb structure.

Results
ΔE_f (raw)	0.924	eV/atom
energy above the lowest structure with this stoichiometry	575	meV/atom
DOS at the Fermi energy	1.0480	states/eV per atom
M_tot	0.00	μB/f.u.

a b c (Å): 4.5896 4.5896 4.5896
angles (deg): 60.00 60.00 60.00
Last column: nearest neighbours and their distance in Å.
Sites, in units of the cell vectors:
Re 0.0000 0.0000 0.0000  4 Pb 2.81, 4 Re 2.81
Re 0.2500 0.2500 0.2500  4 Re 2.81, 4 Si 2.81
Si 0.5000 0.5000 0.5000  4 Pb 2.81, 4 Re 2.81
Pb 0.7500 0.7500 0.7500  4 Re 2.81, 4 Si 2.81

***

Density functional theory data (PBE-GGA) for a geometry-optimized KRbHSeBrCl structure.

Results
energy above the lowest structure with this stoichiometry	7	meV/atom
DOS at the Fermi energy	0.0550	states/eV per atom
M_tot	0.00	μB/f.u.

a b c (Å): 4.6779 5.1272 8.9154
angles (deg): 87.50 79.98 74.29
Last column: nearest neighbours and their distance in Å.
Sites, in units of the cell vectors:
K 0.0000 0.0000 0.0000  1 H 2.91, 2 Cl 3.13-3.16
Rb 0.3087 0.5288 0.5773  1 H 3.12, 1 Cl 3.36
H 0.5935 0.1809 0.2840  1 Se 1.49
Se 0.3894 0.0027 0.2807  1 H 1.49
Br 0.9130 0.5174 0.2686  1 H 2.56
Cl 0.6074 0.9171 0.7644  2 K 3.13-3.16, 1 Rb 3.36

***

Density functional theory data (PBE-GGA) for a geometry-optimized PuPaTeN2 structure.

Results
ΔE_f (raw)	-1.518	eV/atom
DOS at the Fermi energy	1.9365	states/eV per atom
M_tot	5.00	μB/f.u.

a b c (Å): 6.8947 6.8947 6.8947
angles (deg): 146.68 146.68 47.84
Last column: nearest neighbours and their distance in Å.
Sites, in units of the cell vectors:
Pu 0.0000 0.0000 0.0000  4 N 2.34
Pa 0.3217 0.3217 0.0000  4 N 2.21
Te 0.6565 0.6565 0.0000  4 Pu 3.42, 4 Pa 3.49, 8 N 3.66-3.78
N 0.4009 0.9009 0.5000  2 Pa 2.21, 2 Pu 2.34
N 0.9009 0.4009 0.5000  2 Pa 2.21, 2 Pu 2.34